# 1
# Mo4AuC3

Mo4AuC3 after structural relaxation (PBE, the Open Quantum Materials Database).

Values from the calculation:
- Energy: -147.38 eV for the cell shown

Cell: 3.1284 3.1284 23.5460 Å, 90.00 90.00 120.00°
Fractional positions:
Mo 0.6667 0.3333 0.9437
Mo 0.0000 0.0000 0.3489
Mo 0.0000 0.0000 0.1511
Mo 0.0000 0.0000 0.8489
Mo 0.6667 0.3333 0.5563
Mo 0.0000 0.0000 0.6511
Mo 0.3333 0.6667 0.4437
Mo 0.3333 0.6667 0.0563
C 0.3333 0.6667 0.6103
C 0.3333 0.6667 0.8897
C 0.0000 0.0000 0.0000
C 0.6667 0.3333 0.1103
C 0.0000 0.0000 0.5000
C 0.6667 0.3333 0.3897
Au 0.6667 0.3333 0.7500
Au 0.3333 0.6667 0.2500

---

# 2
# Hf2NbFe

Hf2NbFe after structural relaxation (PBE, the Open Quantum Materials Database).

Values from the calculation:
- Calculated formation energy: 0.191 eV per atom
- Energy: -37.55 eV for the cell shown

Cell: 4.6239 4.6239 4.6239 Å, 60.00 60.00 60.00°
Fractional positions:
Hf 0.7500 0.7500 0.7500
Hf 0.0000 0.0000 0.0000
Fe 0.2500 0.2500 0.2500
Nb 0.5000 0.5000 0.5000

---

# 3
# DyHo3Tm2Bi2Os

DyHo3Tm2Bi2Os after structural relaxation (PBE, the Open Quantum Materials Database).

Values from the calculation:
- Energy: -51.62 eV for the cell shown

Cell: 4.2262 8.2448 8.2448 Å, 120.19 90.00 90.00°
Fractional positions:
Ho 0.0000 0.0005 0.6136
Ho 0.0000 0.3846 0.3846
Ho 0.0000 0.6136 0.0005
Bi 0.5000 0.3315 0.6665
Bi 0.5000 0.6665 0.3315
Dy 0.5000 0.7670 0.7670
Tm 0.5000 0.0000 0.2327
Tm 0.5000 0.2327 0.0000
Os 0.0000 0.0036 0.0036

---

# 4
# Fe2SbPb

Fe2SbPb after structural relaxation (PBE, the Open Quantum Materials Database).

Values from the calculation:
- Energy: -89.05 eV for the cell shown

Cell: 6.4272 6.4272 6.4272 Å, 90.00 90.00 90.00°
Fractional positions:
Sb 0.0000 0.5000 0.5000
Sb 0.5000 0.5000 0.5000
Sb 0.5000 0.5000 0.0000
Sb 0.5000 0.0000 0.5000
Fe 0.7312 0.7312 0.7312
Fe 0.7312 0.2688 0.2688
Fe 0.2688 0.2688 0.2688
Fe 0.7312 0.2688 0.7312
Fe 0.7312 0.7312 0.2688
Fe 0.2688 0.2688 0.7312
Fe 0.2688 0.7312 0.7312
Fe 0.2688 0.7312 0.2688
Pb 0.5000 0.0000 0.0000
Pb 0.0000 0.0000 0.5000
Pb 0.0000 0.0000 0.0000
Pb 0.0000 0.5000 0.0000